[1]
! TiNb2Re2, relaxed, DFT GGA-PBE; values from VASP
&SYSTEM
  ibrav = 0, nat = 10, ntyp = 3
/
ATOMIC_SPECIES
Ti 47.87 Ti.upf
Nb 92.91 Nb.upf
Re 186.21 Re.upf
CELL_PARAMETERS angstrom
3.166 0.000 -0.421
0.000 4.507 0.000
-0.066 0.000 11.450
ATOMIC_POSITIONS angstrom
Ti 2.655 3.380 7.742
Ti 0.445 1.127 3.287
Nb 0.151 3.380 1.125
Nb 2.949 1.127 9.903
Nb 0.746 3.380 5.532
Nb 2.354 1.127 5.497
Re 2.034 3.380 3.135
Re 1.066 1.127 7.894
Re 1.367 3.380 10.122
Re 1.733 1.127 0.907
! Electronic total energy = -54.48 eV per formula unit
! Formation enthalpy at 0 K = -0.310 eV per atom



[2]
! Ti2Nb2Re, relaxed, DFT GGA-PBE; values from VASP
&SYSTEM
  ibrav = 0, nat = 10, ntyp = 3
/
ATOMIC_SPECIES
Re 186.21 Re.upf
Nb 92.91 Nb.upf
Ti 47.87 Ti.upf
CELL_PARAMETERS angstrom
6.909 0.000 0.000
0.000 6.909 0.000
0.000 0.000 3.601
ATOMIC_POSITIONS angstrom
Re 0.000 0.000 0.000
Re 3.455 3.455 0.000
Nb 1.155 4.609 1.800
Nb 4.609 5.755 1.800
Nb 5.755 2.300 1.800
Nb 2.300 1.155 1.800
Ti 2.489 5.944 0.000
Ti 5.944 4.420 0.000
Ti 4.420 0.966 0.000
Ti 0.966 2.489 0.000
! Electronic total energy = -47.06 eV per formula unit
! Formation enthalpy at 0 K = 0.263 eV per atom